A plane-wave DFT calculation with PBE-GGA was carried out for a relaxed Ti6Re5Sn crystal.

a = 4.4369 Å, b = 6.3585 Å, c = 13.3321 Å
α = 90.00°, β = 90.00°, γ = 90.00°
Space group Immm (No. 71)
Asymmetric unit:
Ti  0.0000  0.2299  0.0000
Ti  0.0000  0.2590  0.3275
Re  0.0000  0.0000  0.1678
Re  0.0000  0.5000  0.1627
Re  0.0000  0.5000  0.5000
Sn  0.0000  0.0000  0.5000

Results
**Calculated formation energy**: -4.73 eV/f.u.
**Uncorrected energy**: -236.7 eV for the cell shown